(1)
Density functional theory data (PBE) for a relaxed structure of BaI2Cl6.

a b c (Å): 7.8917 9.9816 9.9816
angles (deg): 64.71 77.19 77.19
Last column: nearest neighbours and their distance in Å.
Atoms (fractional coordinates):
1 Ba 0.2500 0.8553 0.1447  8 Cl 3.13-3.36
2 Ba 0.7500 0.1447 0.8553  8 Cl 3.13-3.36
3 I 0.1356 0.4634 0.7874  2 Cl 2.48-2.53
4 I 0.3644 0.2126 0.5366  2 Cl 2.48-2.53
5 I 0.8644 0.5366 0.2126  2 Cl 2.48-2.53
6 I 0.6356 0.7874 0.4634  2 Cl 2.48-2.53
7 Cl 0.3378 0.7128 0.4976  1 I 2.53
8 Cl 0.1622 0.5024 0.2872  1 I 2.53
9 Cl 0.6622 0.2872 0.5024  1 I 2.53
10 Cl 0.8378 0.4976 0.7128  1 I 2.53
11 Cl 0.9147 0.8908 0.4023  1 I 2.48
12 Cl 0.5853 0.5977 0.1092  1 I 2.48
13 Cl 0.0853 0.1092 0.5977  1 I 2.48
14 Cl 0.4147 0.4023 0.8908  1 I 2.48
15 Cl 0.9747 0.8286 0.9768  1 I 3.02, 2 Ba 3.13-3.14
16 Cl 0.5253 0.0232 0.1714  1 I 3.02, 2 Ba 3.13-3.14
17 Cl 0.0253 0.1714 0.0232  1 I 3.02, 2 Ba 3.13-3.14
18 Cl 0.4747 0.9768 0.8286  1 I 3.02, 2 Ba 3.13-3.14

Summary:
Uncorrected energy, eV for the cell shown: -47.320
E_form (uncorrected), eV/atom: -0.84



(2)
Density functional theory data (PBE) for a relaxed structure of Sc2PdSe2.

a b c (Å): 7.3310 7.3310 3.5019
angles (deg): 90.00 90.00 90.00
Last column: nearest neighbours and their distance in Å.
Atoms (fractional coordinates):
1 Sc 0.1584 0.6584 0.5000  6 Se 2.65-2.86
2 Sc 0.6584 0.8416 0.5000  6 Se 2.65-2.86
3 Sc 0.8416 0.3416 0.5000  6 Se 2.65-2.86
4 Sc 0.3416 0.1584 0.5000  6 Se 2.65-2.86
5 Se 0.3507 0.8507 0.0000  6 Sc 2.65-2.86, 2 Pd 2.79
6 Se 0.8507 0.6493 0.0000  6 Sc 2.65-2.86, 2 Pd 2.79
7 Se 0.6493 0.1493 0.0000  6 Sc 2.65-2.86, 2 Pd 2.79
8 Se 0.1493 0.3507 0.0000  6 Sc 2.65-2.86, 2 Pd 2.79
9 Pd 0.0000 0.0000 0.0000  4 Se 2.79
10 Pd 0.5000 0.5000 0.0000  4 Se 2.79

Summary:
Uncorrected energy, eV for the cell shown: -61.238
E_form (uncorrected), eV/atom: -1.16



(3)
Density functional theory data (PBE) for a relaxed structure of CsBa2CaZn.

a b c (Å): 6.7181 6.7181 6.2262
angles (deg): 90.00 90.00 90.00
Last column: nearest neighbours and their distance in Å.
Atoms (fractional coordinates):
1 Cs 0.5000 0.5000 0.5000  8 Ba 4.58, 4 Ca 4.75
2 Zn 0.0000 0.0000 0.0000  2 Ca 3.11, 4 Ba 3.36
3 Ca 0.0000 0.0000 0.5000  2 Zn 3.11
4 Ba 0.0000 0.5000 0.0000  2 Zn 3.36
5 Ba 0.5000 0.0000 0.0000  2 Zn 3.36

Summary:
Formation enthalpy at 0 K, meV per atom: 56
Uncorrected energy, eV for the cell shown: -7.696



(4)
Density functional theory data (PBE) for a relaxed structure of Ac6IrRh2.

a b c (Å): 4.2165 7.1167 10.9055
angles (deg): 91.52 90.00 107.23
Last column: nearest neighbours and their distance in Å.
Atoms (fractional coordinates):
1 Ac 0.8610 0.7221 0.4095  2 Ir 2.98
2 Ac 0.1390 0.2779 0.5905  2 Ir 2.98
3 Ac 0.8589 0.7178 0.0603  3 Rh 3.00-3.11
4 Ac 0.1411 0.2822 0.9397  3 Rh 3.00-3.11
5 Ac 0.5933 0.1867 0.2536  1 Ir 3.00, 2 Rh 3.06
6 Ac 0.4067 0.8133 0.7464  1 Ir 3.00, 2 Rh 3.06
7 Ir 0.5000 0.0000 0.5000  6 Ac 2.98-3.00
8 Rh 0.2484 0.4967 0.1948  5 Ac 3.00-3.11
9 Rh 0.7516 0.5033 0.8052  5 Ac 3.00-3.11

Summary:
Formation enthalpy at 0 K, meV per atom: -526
Uncorrected energy, eV for the cell shown: -52.948